KPuAg2Se4: optimized geometry, PBE.

Unit cell a=7.113 b=6.581 c=6.581 alpha=69.38 beta=57.28 gamma=57.28
Positions (direct):
1 K 0.000 0.000 0.000
2 Pu 0.500 0.500 0.500
3 Ag 0.197 0.303 0.303
4 Ag 0.803 0.697 0.697
5 Se 0.474 0.082 0.529
6 Se 0.085 0.918 0.471
7 Se 0.915 0.529 0.082
8 Se 0.526 0.471 0.918

Output
VASP energy in eV for the cell shown: -39.6
SG: No. 23
Calculated volume in Å³/atom: 27.16
E_form (uncorrected) in eV/f.u.: -4.54